# 1
This record from the Alexandria database describes crystalline RePdF3 at its relaxed geometry. The functional is PBE-GGA.

```
RePdF3
1.0
4.177 0.000 0.000
0.000 4.177 0.000
0.000 0.000 4.177
Re Pd F
1 1 3
Cartesian
0.000 0.000 0.000 Re
2.089 2.089 2.089 Pd
0.000 0.000 2.089 F
0.000 2.089 0.000 F
2.089 0.000 0.000 F
```

Summary:
Its density of states at the Fermi level is 3.16 states/eV/f.u. The value obtained for the energy is -5.124 eV per atom. The total magnetization comes out at 2.52 μB per formula unit. As for the density: 8.0 g cm⁻³. As for the space group: Pm-3m (221).

=====

# 2
This record from the Alexandria database describes crystalline RePdF3 at its relaxed geometry. The functional is PBE-GGA.

```
RePdF3
1.0
4.332 0.000 0.000
0.000 4.332 0.000
0.000 0.000 4.332
Re Pd F
1 1 3
Cartesian
0.000 0.000 0.000 Re
2.166 2.166 2.166 Pd
0.000 2.166 2.166 F
2.166 0.000 2.166 F
2.166 2.166 0.000 F
```

Summary:
Its density of states at the Fermi level is 2.60 states/eV/f.u. The value obtained for the energy is -4.565 eV per atom. The total magnetization comes out at 5.89 μB per formula unit. As for the density: 7.1 g cm⁻³. As for the space group: Pm-3m (221).

=====

# 3
This record from the Alexandria database describes crystalline RePdF2 at its relaxed geometry. The functional is PBE-GGA.

```
RePdF2
1.0
2.715 0.000 0.000
-1.357 2.351 0.000
0.000 0.000 27.993
Re Pd F
3 3 6
Cartesian
0.000 0.000 0.000 Re
0.000 1.567 18.662 Re
1.357 0.784 9.331 Re
0.000 0.000 13.997 Pd
0.000 1.567 4.666 Pd
1.357 0.784 23.328 Pd
0.000 0.000 1.905 F
0.000 0.000 26.088 F
0.000 1.567 16.757 F
0.000 1.567 20.568 F
1.357 0.784 7.426 F
1.357 0.784 11.237 F
```

Summary:
Its density of states at the Fermi level is 4.78 states/eV/f.u. The value obtained for the energy is -6.062 eV per atom. The total magnetization comes out at 0.34 μB per formula unit. As for the density: 9.2 g cm⁻³. As for the space group: R-3m (166).

=====

# 4
This record from the Alexandria database describes crystalline Re3PdF at its relaxed geometry. The functional is PBE-GGA.

```
Re3PdF
1.0
4.779 0.000 0.000
0.000 4.779 0.000
0.000 0.000 4.779
Re Pd F
3 1 1
Cartesian
0.000 0.000 2.389 Re
0.000 2.389 0.000 Re
2.389 0.000 0.000 Re
0.000 0.000 0.000 Pd
2.389 2.389 2.389 F
```

Summary:
Its density of states at the Fermi level is 6.82 states/eV/f.u. The value obtained for the energy is -6.142 eV per atom. The total magnetization comes out at 5.19 μB per formula unit. As for the density: 10.4 g cm⁻³. As for the space group: Pm-3m (221).

=====

# 5
This record from the Alexandria database describes crystalline Re2PdF at its relaxed geometry. The functional is PBE-GGA.

```
Re2PdF
1.0
6.061 0.000 0.000
0.000 6.061 0.000
0.000 0.000 6.061
Re Pd F
8 4 4
Cartesian
1.515 1.515 1.515 Re
1.515 1.515 4.545 Re
1.515 4.545 1.515 Re
1.515 4.545 4.545 Re
4.545 1.515 1.515 Re
4.545 1.515 4.545 Re
4.545 4.545 1.515 Re
4.545 4.545 4.545 Re
0.000 0.000 0.000 Pd
0.000 3.030 3.030 Pd
3.030 0.000 3.030 Pd
3.030 3.030 0.000 Pd
0.000 0.000 3.030 F
0.000 3.030 0.000 F
3.030 0.000 0.000 F
3.030 3.030 3.030 F
```

Summary:
Its density of states at the Fermi level is 2.66 states/eV/f.u. The value obtained for the energy is -7.392 eV per atom. The total magnetization comes out at 0.00 μB per formula unit. As for the density: 14.9 g cm⁻³. As for the space group: Fm-3m (225).

=====

# 6
This record from the Alexandria database describes crystalline RePd2F at its relaxed geometry. The functional is PBE-GGA.

```
RePd2F
1.0
6.618 0.000 0.000
0.000 6.618 0.000
0.000 0.000 5.571
Re Pd F
4 8 4
Cartesian
0.000 0.000 0.000 Re
0.000 3.309 1.393 Re
3.309 0.000 4.178 Re
3.309 3.309 2.786 Re
1.512 1.655 3.482 Pd
1.655 4.822 4.875 Pd
1.655 5.106 2.089 Pd
1.797 1.655 0.696 Pd
4.822 4.964 0.696 Pd
4.964 1.512 2.089 Pd
4.964 1.797 4.875 Pd
5.106 4.964 3.482 Pd
0.000 0.000 2.786 F
0.000 3.309 4.178 F
3.309 0.000 1.393 F
3.309 3.309 0.000 F
```

Summary:
Its density of states at the Fermi level is 3.13 states/eV/f.u. The value obtained for the energy is -5.735 eV per atom. The total magnetization comes out at 2.03 μB per formula unit. As for the density: 11.4 g cm⁻³. As for the space group: I-42d (122).